A crystal of FeSbTe2 relaxed with PBEsol. Source: Alexandria, functional meta-GGA SCAN.

abc: 3.646 4.778 6.425
angles: 110.71 90.00 112.43
Each line ends with the local moment (μB).
Sites, in units of the cell vectors:
Sb (0.820, 0.641, 0.373)  -0.03
Te (0.985, 0.971, 0.063)  -0.04
Te (0.161, 0.323, 0.685)  0.00
Fe (0.533, 0.066, 0.379)  0.67

Its theoretical density is 7.52 g/cm3. As for the uncorrected formation energy: 171.1 meV per atom. The calculation puts the magnetization at 0.53 μB per formula unit. Its space-group type is Cm (8). As for the density of states at the Fermi level: 1.8 states/eV/cell.